Entry from the Alexandria database: a geometry-optimized Zr2IrPd5 structure (GGA-PBE).

## Properties
DOS at the Fermi energy, states/eV/cell: 6.96
Crystal system: orthorhombic

abc: 5.711 11.419 4.009
angles: 90.00 90.00 90.00
Space group Pbam (No. 55)
Symmetry-distinct sites (fractional):
Zr: 0.236 0.120 0.000
Ir: 0.000 0.000 0.500
Pd: 0.000 0.500 0.500
Pd: 0.009 0.750 0.500
Pd: 0.244 0.374 0.000

Entry from the Alexandria database: a geometry-optimized Zn2FeNi structure (GGA-PBE).

## Properties
DOS at the Fermi energy, states/eV/cell: 1.56
Crystal system: tetragonal

abc: 2.656 2.656 7.212
angles: 90.00 90.00 90.00
Space group P4mm (No. 99)
Symmetry-distinct sites (fractional):
Zn: 0.000 0.000 0.000
Zn: 0.500 0.500 0.286
Fe: 0.000 0.000 0.537
Ni: 0.500 0.500 0.762

Entry from the Alexandria database: a geometry-optimized MnZn2Fe structure (GGA-PBE).

## Properties
DOS at the Fermi energy, states/eV/cell: 3.23
Crystal system: tetragonal
Polymorph energy (0 for the lowest one), meV per atom: 14

abc: 2.643 2.643 7.265
angles: 90.00 90.00 90.00
Space group P4mm (No. 99)
Symmetry-distinct sites (fractional):
Mn: 0.000 0.000 0.000
Zn: 0.000 0.000 0.537
Zn: 0.500 0.500 0.254
Fe: 0.500 0.500 0.785

| no. | energy relative to the elements (eV per formula unit) |
| --- | --- |
| 1 | -6.18 |
| 2 | -0.25 |
| 3 | 0.12 |